No. 1
Material: Ti4FeCo
Method: DFT, PBE
State: relaxed

abc: 2.9874 2.9874 9.5565
angles: 90.00 90.00 90.00
Last column: nearest neighbours and their distance in Å.
Element x y z (fractional)
Ti1 0.0000 0.0000 0.1532  4 Fe 2.57, 4 Ti 2.79
Ti2 0.0000 0.0000 0.8468  4 Fe 2.57, 4 Ti 2.79
Ti3 0.5000 0.5000 0.3444  4 Co 2.58, 4 Ti 2.79
Ti4 0.5000 0.5000 0.6556  4 Co 2.58, 4 Ti 2.79
Fe1 0.5000 0.5000 0.0000  8 Ti 2.57
Co1 0.0000 0.0000 0.5000  8 Ti 2.58

Summary:
energy relative to the lowest polymorph listed for this composition: 0 meV/atom
calculated volume: 14.2 Å³ per atom
DFT total energy: -8.1175 eV/atom
crystal system: tetragonal
ΔE_f: -0.26 eV per atom

No. 2
Material: TiFeCo6
Method: DFT, PBE
State: relaxed

abc: 5.0469 5.0469 3.5844
angles: 90.00 90.00 90.00
Last column: nearest neighbours and their distance in Å.
Element x y z (fractional)
Ti1 0.0000 0.0000 0.0000  12 Co 2.52-2.57
Fe1 0.5000 0.5000 0.0000  12 Co 2.49-2.52
Co1 0.0000 0.5000 0.0000  2 Fe 2.52, 2 Ti 2.52, 8 Co 2.53
Co2 0.2573 0.2573 0.5000  8 Co 2.45-2.60, 2 Fe 2.49, 2 Ti 2.57
Co3 0.2573 0.7427 0.5000  8 Co 2.45-2.60, 2 Fe 2.49, 2 Ti 2.57
Co4 0.5000 0.0000 0.0000  2 Fe 2.52, 2 Ti 2.52, 8 Co 2.53
Co5 0.7427 0.2573 0.5000  8 Co 2.45-2.60, 2 Fe 2.49, 2 Ti 2.57
Co6 0.7427 0.7427 0.5000  8 Co 2.45-2.60, 2 Fe 2.49, 2 Ti 2.57

Summary:
calculated volume: 11.4 Å³ per atom
DFT total energy: -7.4798 eV/atom
crystal system: tetragonal
ΔE_f: -0.11 eV per atom

No. 3
Material: TiFeCo
Method: DFT, PBE
State: relaxed

abc: 3.9452 3.9452 2.8108
angles: 90.00 90.00 120.00
Last column: nearest neighbours and their distance in Å.
Element x y z (fractional)
Ti1 0.0000 0.0000 0.0000  6 Fe 2.68, 6 Co 2.68, 2 Ti 2.81
Fe1 0.6667 0.3333 0.5000  3 Co 2.28
Co1 0.3333 0.6667 0.5000  3 Fe 2.28

Summary:
energy relative to the lowest polymorph listed for this composition: 0 meV/atom
calculated volume: 12.6 Å³ per atom
DFT total energy: -7.8324 eV/atom
crystal system: hexagonal
ΔE_f: -0.01 eV per atom

No. 4
Material: Ti2FeCo6
Method: DFT, PBE
State: relaxed

abc: 4.8929 4.8929 5.3812
angles: 90.27 90.27 60.10
Last column: nearest neighbours and their distance in Å.
Element x y z (fractional)
Ti1 0.1665 0.1665 0.3581  9 Co 2.65-2.87, 3 Fe 2.92-2.93
Ti2 0.8335 0.8335 0.6419  9 Co 2.65-2.87, 3 Fe 2.92-2.93
Fe1 0.5000 0.5000 0.5000  6 Co 2.32
Co1 0.1475 0.6758 0.1696  4 Co 2.31-2.37, 1 Fe 2.32
Co2 0.3242 0.3242 0.8285  4 Co 2.31-2.36, 1 Fe 2.32
Co3 0.3242 0.8525 0.8304  4 Co 2.31-2.37, 1 Fe 2.32
Co4 0.6758 0.1475 0.1696  4 Co 2.31-2.37, 1 Fe 2.32
Co5 0.6758 0.6758 0.1715  4 Co 2.31-2.36, 1 Fe 2.32
Co6 0.8525 0.3242 0.8304  4 Co 2.31-2.37, 1 Fe 2.32

Summary:
calculated volume: 12.4 Å³ per atom
DFT total energy: -7.5257 eV/atom
crystal system: monoclinic
ΔE_f: -0.09 eV per atom

No. 5
Material: Ti3FeCo4
Method: DFT, PBE
State: relaxed

abc: 2.9656 2.9656 11.6450
angles: 90.00 90.00 90.00
Last column: nearest neighbours and their distance in Å.
Element x y z (fractional)
Ti1 0.0000 0.0000 0.0000  8 Co 2.58
Ti2 0.0000 0.0000 0.2568  8 Co 2.56-2.57, 1 Fe 2.83
Ti3 0.0000 0.0000 0.7432  8 Co 2.56-2.57, 1 Fe 2.83
Fe1 0.0000 0.0000 0.5000  8 Co 2.50
Co1 0.5000 0.5000 0.1296  8 Ti 2.57-2.58
Co2 0.5000 0.5000 0.3833  4 Fe 2.50, 4 Ti 2.56, 1 Co 2.72
Co3 0.5000 0.5000 0.6167  4 Fe 2.50, 4 Ti 2.56, 1 Co 2.72
Co4 0.5000 0.5000 0.8704  8 Ti 2.57-2.58

Summary:
calculated volume: 12.8 Å³ per atom
DFT total energy: -7.8609 eV/atom
crystal system: tetragonal
ΔE_f: -0.29 eV per atom

No. 6
Material: TiFe2Co2
Method: DFT, PBE
State: relaxed

abc: 6.8333 6.8333 2.5252
angles: 90.00 90.00 90.00
Last column: nearest neighbours and their distance in Å.
Element x y z (fractional)
Ti1 0.0000 0.0000 0.0000  2 Ti 2.53, 4 Fe 2.72, 8 Co 2.82
Ti2 0.5000 0.5000 0.0000  2 Ti 2.53, 4 Fe 2.72, 8 Co 2.82
Fe1 0.1216 0.3784 0.0000  6 Co 2.33-2.42, 3 Fe 2.35-2.53
Fe2 0.3784 0.8784 0.0000  6 Co 2.33-2.42, 3 Fe 2.35-2.53
Fe3 0.6216 0.1216 0.0000  6 Co 2.33-2.42, 3 Fe 2.35-2.53
Fe4 0.8784 0.6216 0.0000  6 Co 2.33-2.42, 3 Fe 2.35-2.53
Co1 0.1754 0.6754 0.5000  6 Fe 2.33-2.42, 2 Co 2.53
Co2 0.3246 0.1754 0.5000  6 Fe 2.33-2.42, 2 Co 2.53
Co3 0.6754 0.8246 0.5000  6 Fe 2.33-2.42, 2 Co 2.53
Co4 0.8246 0.3246 0.5000  6 Fe 2.33-2.42, 2 Co 2.53

Summary:
energy relative to the lowest polymorph listed for this composition: 39 meV/atom
calculated volume: 11.8 Å³ per atom
DFT total energy: -7.7701 eV/atom
crystal system: tetragonal
ΔE_f: 0.04 eV per atom